1.
Below is a geometry-optimized DyCdCu structure, with properties calculated at the PBE level.

Computed properties:
- density of states at the Fermi level (states/eV/f.u.) = 2.03
- energy (eV per cell) = -20.39
- space-group type = P4/nmm

abc: 7.569 4.151 4.151
angles: 90.00 90.00 90.00
Fractional positions:
Cd 0.500 0.500 0.500
Dy 0.849 0.000 0.500
Cu 0.762 0.500 0.000
Cu 0.238 0.000 0.500
Cd 0.500 0.000 0.000
Dy 0.151 0.500 0.000



2.
Below is a geometry-optimized DyCd5Cu structure, with properties calculated at the PBE level.

Computed properties:
- density of states at the Fermi level (states/eV/f.u.) = 4.47
- energy (eV per cell) = -14.29
- space-group type = P4/mmm

abc: 4.657 4.657 7.312
angles: 90.00 90.00 90.00
Fractional positions:
Cd 0.500 0.500 0.000
Dy 0.000 0.000 0.000
Cd 0.500 0.000 0.702
Cd 0.000 0.500 0.298
Cd 0.500 0.000 0.298
Cu 0.000 0.000 0.500
Cd 0.000 0.500 0.702



3.
Below is a geometry-optimized Dy12CdCu6 structure, with properties calculated at the PBE level.

Computed properties:
- density of states at the Fermi level (states/eV/f.u.) = 13.19
- energy (eV per cell) = -84.02
- space-group type = Im-3

abc: 8.523 8.523 8.523
angles: 109.47 109.47 109.47
Fractional positions:
Dy 0.811 0.704 0.515
Cu 0.124 0.624 0.500
Dy 0.515 0.811 0.704
Dy 0.704 0.515 0.811
Dy 0.485 0.189 0.296
Cu 0.876 0.376 0.500
Dy 0.296 0.107 0.811
Dy 0.189 0.296 0.485
Cu 0.376 0.500 0.876
Cu 0.500 0.124 0.624
Dy 0.296 0.485 0.189
Dy 0.704 0.893 0.189
Dy 0.893 0.189 0.704
Dy 0.189 0.704 0.893
Cu 0.624 0.500 0.124
Cd 0.000 0.000 0.000
Dy 0.107 0.811 0.296
Cu 0.500 0.876 0.376
Dy 0.811 0.296 0.107



4.
Below is a geometry-optimized Dy4CdCu2 structure, with properties calculated at the PBE level.

Computed properties:
- density of states at the Fermi level (states/eV/f.u.) = 6.92
- energy (eV per cell) = -28.33
- space-group type = R-3m

abc: 5.008 5.008 8.461
angles: 72.78 72.78 60.00
Fractional positions:
Cu 0.746 0.746 0.762
Cu 0.254 0.254 0.238
Cd 0.000 0.000 0.000
Dy 0.616 0.616 0.153
Dy 0.384 0.384 0.847
Dy 0.132 0.132 0.604
Dy 0.868 0.868 0.396



5.
Below is a geometry-optimized Dy2CdCu3 structure, with properties calculated at the PBE level.

Computed properties:
- density of states at the Fermi level (states/eV/f.u.) = 3.37
- energy (eV per cell) = -47.29
- space-group type = Fmmm

abc: 5.700 5.700 8.386
angles: 104.90 104.90 104.09
Fractional positions:
Cu 0.676 0.161 0.837
Dy 0.758 0.758 0.000
Cu 0.324 0.839 0.163
Dy 0.250 0.750 0.500
Dy 0.242 0.242 0.000
Cd 0.666 0.666 0.333
Cd 0.334 0.334 0.667
Cu 0.161 0.161 0.322
Cu 0.839 0.839 0.678
Cu 0.161 0.676 0.837
Cu 0.839 0.324 0.163
Dy 0.750 0.250 0.500



6.
Below is a geometry-optimized DyCdCu structure, with properties calculated at the PBE level.

Computed properties:
- density of states at the Fermi level (states/eV/f.u.) = 2.75
- energy (eV per cell) = -10.08
- space-group type = I4mm

abc: 3.395 3.395 5.997
angles: 106.44 106.44 90.00
Fractional positions:
Cu 0.275 0.275 0.550
Dy 0.935 0.935 0.871
Cd 0.639 0.639 0.279



7.
Below is a geometry-optimized DyCd9Cu2 structure, with properties calculated at the PBE level.

Computed properties:
- density of states at the Fermi level (states/eV/f.u.) = 2.67
- energy (eV per cell) = -43.65
- space-group type = I4_1/amd

abc: 7.362 9.042 9.042
angles: 80.46 65.98 65.98
Fractional positions:
Cu 0.875 0.250 0.750
Cu 0.375 0.750 0.750
Cd 0.076 0.316 0.925
Cd 0.432 0.425 0.816
Cd 0.318 0.684 0.075
Cd 0.318 0.075 0.684
Dy 0.250 0.500 0.500
Cd 0.607 0.075 0.316
Dy 0.500 0.000 0.000
Cd 0.000 0.000 0.000
Cd 0.143 0.184 0.425
Cd 0.750 0.500 0.500
Cd 0.143 0.425 0.184
Cd 0.674 0.575 0.184
Cu 0.875 0.250 0.250
Cu 0.875 0.750 0.250
Cd 0.998 0.684 0.925
Cd 0.607 0.316 0.075
Cd 0.752 0.816 0.575
Cd 0.432 0.816 0.425
Cd 0.752 0.575 0.816
Cd 0.076 0.925 0.316
Cd 0.674 0.184 0.575
Cd 0.998 0.925 0.684



8.
Below is a geometry-optimized DyCd11Cu structure, with properties calculated at the PBE level.

Computed properties:
- density of states at the Fermi level (states/eV/f.u.) = 5.29
- energy (eV per cell) = -19.65
- space-group type = C2/m

abc: 5.818 7.538 7.600
angles: 81.67 67.49 67.76
Fractional positions:
Cd 0.642 0.356 0.340
Cd 0.017 0.644 0.340
Cd 0.500 0.000 0.500
Dy 0.000 0.000 0.000
Cd 0.510 0.217 0.793
Cd 0.490 0.783 0.207
Cd 0.000 0.000 0.500
Cd 0.697 0.783 0.793
Cd 0.358 0.644 0.660
Cd 0.000 0.500 0.000
Cd 0.983 0.356 0.660
Cd 0.303 0.217 0.207
Cu 0.500 0.500 0.000



9.
Below is a geometry-optimized Dy2Cd3Cu structure, with properties calculated at the PBE level.

Computed properties:
- density of states at the Fermi level (states/eV/f.u.) = 4.44
- energy (eV per cell) = -17.59
- space-group type = Pmm2

abc: 3.408 4.837 8.386
angles: 90.00 90.00 90.00
Fractional positions:
Dy 0.000 0.000 0.484
Cd 0.500 0.000 0.173
Cd 0.500 0.000 0.832
Dy 0.000 0.500 0.024
Cu 0.500 0.500 0.331
Cd 0.500 0.500 0.656



10.
Below is a geometry-optimized Dy8CdCu2 structure, with properties calculated at the PBE level.

Computed properties:
- density of states at the Fermi level (states/eV/f.u.) = 17.06
- energy (eV per cell) = -46.16
- space-group type = C2/m

abc: 5.406 8.042 8.042
angles: 115.22 98.75 98.75
Fractional positions:
Dy 0.695 0.392 0.392
Dy 0.500 0.761 0.239
Dy 0.912 0.917 0.667
Dy 0.305 0.608 0.608
Cu 0.000 0.694 0.306
Dy 0.088 0.333 0.083
Cd 0.500 0.000 0.000
Dy 0.912 0.667 0.917
Dy 0.500 0.239 0.761
Cu 0.000 0.306 0.694
Dy 0.088 0.083 0.333



11.
Below is a geometry-optimized Dy2Cd3Cu2 structure, with properties calculated at the PBE level.

Computed properties:
- density of states at the Fermi level (states/eV/f.u.) = 4.11
- energy (eV per cell) = -21.83
- space-group type = Cmmm

abc: 3.624 4.232 10.230
angles: 101.94 90.00 90.00
Fractional positions:
Cd 0.500 0.423 0.847
Dy 0.000 0.829 0.658
Cu 0.500 0.715 0.431
Cu 0.500 0.285 0.569
Cd 0.500 0.577 0.153
Dy 0.000 0.171 0.342
Cd 0.000 0.000 0.000



12.
Below is a geometry-optimized Dy2Cd3Cu2 structure, with properties calculated at the PBE level.

Computed properties:
- density of states at the Fermi level (states/eV/f.u.) = 4.80
- energy (eV per cell) = -21.94
- space-group type = C2/m

abc: 4.432 5.357 7.352
angles: 109.56 90.00 114.44
Fractional positions:
Cd 0.630 0.259 0.439
Dy 0.863 0.726 0.216
Cu 0.842 0.685 0.806
Dy 0.137 0.274 0.784
Cu 0.158 0.315 0.194
Cd 0.370 0.741 0.561
Cd 0.500 0.000 0.000



13.
Below is a geometry-optimized Dy4CdCu2 structure, with properties calculated at the PBE level.

Computed properties:
- density of states at the Fermi level (states/eV/f.u.) = 8.18
- energy (eV per cell) = -27.64
- space-group type = R-3m

abc: 4.867 4.867 9.347
angles: 74.91 74.91 60.00
Fractional positions:
Dy 0.615 0.615 0.154
Cd 0.000 0.000 0.000
Dy 0.385 0.385 0.846
Cu 0.902 0.902 0.295
Dy 0.796 0.796 0.612
Cu 0.098 0.098 0.705
Dy 0.204 0.204 0.388



14.
Below is a geometry-optimized DyCdCu structure, with properties calculated at the PBE level.

Computed properties:
- density of states at the Fermi level (states/eV/f.u.) = 3.54
- energy (eV per cell) = -10.02
- space-group type = F-43m

abc: 4.626 4.626 4.626
angles: 60.00 60.00 60.00
Fractional positions:
Cu 0.250 0.250 0.250
Cd 0.500 0.500 0.500
Dy 0.000 0.000 0.000



15.
Below is a geometry-optimized Dy2CdCu structure, with properties calculated at the PBE level.

Computed properties:
- density of states at the Fermi level (states/eV/f.u.) = 3.74
- energy (eV per cell) = -13.41
- space-group type = R-3m

abc: 3.415 3.415 10.865
angles: 80.96 80.96 60.00
Fractional positions:
Dy 0.102 0.102 0.695
Dy 0.898 0.898 0.305
Cd 0.000 0.000 0.000
Cu 0.500 0.500 0.500



16.
Below is a geometry-optimized DyCdCu structure, with properties calculated at the PBE level.

Computed properties:
- density of states at the Fermi level (states/eV/f.u.) = 2.04
- energy (eV per cell) = -10.25
- space-group type = P3m1

abc: 3.384 4.669 4.669
angles: 120.00 90.00 90.00
Fractional positions:
Dy 0.667 0.667 0.333
Cu 0.166 0.333 0.667
Cd 0.167 0.000 0.000



17.
Below is a geometry-optimized DyErCdCu structure, with properties calculated at the PBE level.

Computed properties:
- density of states at the Fermi level (states/eV/f.u.) = 3.04
- energy (eV per cell) = -15.11
- space-group type = F-43m

abc: 5.094 5.094 5.094
angles: 60.00 60.00 60.00
Fractional positions:
Dy 0.500 0.500 0.500
Er 0.000 0.000 0.000
Cd 0.750 0.750 0.750
Cu 0.250 0.250 0.250



18.
Below is a geometry-optimized DyErCdCu structure, with properties calculated at the PBE level.

Computed properties:
- density of states at the Fermi level (states/eV/f.u.) = 3.44
- energy (eV per cell) = -15.30
- space-group type = P4mm

abc: 3.489 3.489 7.639
angles: 90.00 90.00 90.00
Fractional positions:
Dy 0.000 0.000 0.828
Cd 0.500 0.500 0.110
Er 0.000 0.000 0.387
Cu 0.500 0.500 0.603



19.
Below is a geometry-optimized EuDyCdCu structure, with properties calculated at the PBE level.

Computed properties:
- density of states at the Fermi level (states/eV/f.u.) = 5.87
- energy (eV per cell) = -20.57
- space-group type = F-43m

abc: 5.233 5.233 5.233
angles: 60.00 60.00 60.00
Fractional positions:
Eu 0.500 0.500 0.500
Cu 0.250 0.250 0.250
Dy 0.000 0.000 0.000
Cd 0.750 0.750 0.750



20.
Below is a geometry-optimized Dy2CdGa3Cu4 structure, with properties calculated at the PBE level.

Computed properties:
- density of states at the Fermi level (states/eV/f.u.) = 4.60
- energy (eV per cell) = -39.07
- space-group type = P-4m2

abc: 4.094 4.094 10.702
angles: 90.00 90.00 90.00
Fractional positions:
Cd 0.500 0.500 0.500
Cu 0.000 0.500 0.348
Cu 0.500 0.000 0.652
Cu 0.500 0.500 0.000
Ga 0.000 0.500 0.126
Dy 0.500 0.000 0.236
Ga 0.000 0.000 0.500
Cu 0.000 0.000 0.000
Ga 0.500 0.000 0.874
Dy 0.000 0.500 0.764



no.,energy of formation (kJ per mole of atoms)
1,-19
2,-14
3,-17
4,-11
5,-20
6,-15
7,-6
8,-7
9,-25
10,-2
11,-23
12,-25
13,-2
14,-13
15,19
16,-20
17,-23
18,-27
19,-16
20,-34